A plane-wave DFT calculation with PBE was carried out for a relaxed HoCu6Si2 crystal.

Unit cell a=4.0033 b=4.0033 c=7.9076 alpha=90.00 beta=90.00 gamma=90.00
Last column: nearest neighbours and their distance in Å.
Sites, in units of the cell vectors:
Ho 0.0000 0.0000 0.0000  8 Si 3.06, 8 Cu 3.13
Cu 0.0000 0.0000 0.5000  12 Cu 2.53-2.83
Cu 0.0000 0.5000 0.3041  2 Si 2.35, 4 Cu 2.53
Cu 0.0000 0.5000 0.6959  2 Si 2.35, 4 Cu 2.53
Cu 0.5000 0.0000 0.3041  2 Si 2.35, 4 Cu 2.53
Cu 0.5000 0.0000 0.6959  2 Si 2.35, 4 Cu 2.53
Cu 0.5000 0.5000 0.5000  12 Cu 2.53-2.83, 2 Si 2.78
Si 0.5000 0.5000 0.1485  1 Si 2.35, 4 Cu 2.35
Si 0.5000 0.5000 0.8515  1 Si 2.35, 4 Cu 2.35

formation energy (no corrections): -0.289 eV per atom
symmetry: P4/mmm
final energy: -4.7332 eV/atom


A plane-wave DFT calculation with PBE was carried out for a relaxed HoCu4Si2 crystal.

Unit cell a=6.7682 b=6.7682 c=3.9930 alpha=90.00 beta=90.00 gamma=145.76
Last column: nearest neighbours and their distance in Å.
Sites, in units of the cell vectors:
Ho 0.0000 0.0000 0.0000  8 Si 3.06, 8 Cu 3.13-3.14
Cu 0.1872 0.8128 0.5000  2 Si 2.34, 4 Cu 2.57-2.58
Cu 0.3135 0.6865 0.0000  2 Si 2.34, 4 Cu 2.58
Cu 0.6865 0.3135 0.0000  2 Si 2.34, 4 Cu 2.58
Cu 0.8128 0.1872 0.5000  2 Si 2.34, 4 Cu 2.57-2.58
Si 0.4078 0.5921 0.5000  4 Cu 2.34, 1 Si 2.38
Si 0.5921 0.4078 0.5000  4 Cu 2.34, 1 Si 2.38

formation energy (no corrections): -0.389 eV per atom
symmetry: Cmmm
final energy: -4.9327 eV/atom